10
Lattice="3.481 0.000 0.000 0.000 3.481 0.000 0.000 0.000 18.827" Properties=species:S:1:pos:R:3 comment="Tm5ThPd4 PBE-GGA optimized geometry" sg=P4/mmm e_tot_ev_per_atom=-5.792 magmom_total_mub_per_fu=0.00 pbc="T T T"
Tm 0.000 0.000 0.000
Tm 0.000 0.000 3.456
Tm 0.000 0.000 6.864
Tm 0.000 0.000 11.963
Tm 0.000 0.000 15.371
Th 1.740 1.740 9.414
Pd 1.740 1.740 1.736
Pd 1.740 1.740 5.168
Pd 1.740 1.740 13.660
Pd 1.740 1.740 17.091

3
Lattice="4.841 0.000 0.000 -2.421 4.193 0.000 0.000 0.000 3.823" Properties=species:S:1:pos:R:3 comment="TmThPd PBE-GGA optimized geometry" de_polymorph_kj_per_mol_fu=54 sg=P3m1 e_tot_ev_per_atom=-5.996 magmom_total_mub_per_fu=0.00 pbc="T T T"
Tm 0.000 0.000 0.000
Th 0.000 2.795 2.027
Pd 2.421 1.398 0.758

14
Lattice="2.464 -4.262 0.000 2.464 4.262 0.000 0.000 0.000 14.294" Properties=species:S:1:pos:R:3 comment="Tm2ThPd4 PBE-GGA optimized geometry" sg=Cmcm e_tot_ev_per_atom=-6.114 magmom_total_mub_per_fu=0.00 pbc="T T T"
Tm 2.464 2.842 8.045
Tm 2.464 2.842 13.396
Tm 2.464 -2.842 0.898
Tm 2.464 -2.842 6.249
Th 2.464 0.006 10.721
Th 2.464 -0.006 3.574
Pd 2.464 2.852 10.721
Pd 2.464 2.837 2.049
Pd 2.464 2.837 5.098
Pd 2.464 0.000 0.000
Pd 2.464 0.000 7.147
Pd 2.464 -2.837 9.196
Pd 2.464 -2.837 12.245
Pd 2.464 -2.852 3.574

12
Lattice="4.143 0.000 0.000 0.000 4.143 0.000 0.000 0.000 12.342" Properties=species:S:1:pos:R:3 comment="Tm2ThPd9 PBE-GGA optimized geometry" sg=P4/mmm e_tot_ev_per_atom=-6.207 magmom_total_mub_per_fu=0.00 pbc="T T T"
Tm 0.000 0.000 1.996
Tm 0.000 0.000 10.347
Th 0.000 0.000 6.171
Pd 0.000 2.072 0.000
Pd 0.000 2.072 4.070
Pd 0.000 2.072 8.272
Pd 2.072 0.000 0.000
Pd 2.072 0.000 4.070
Pd 2.072 0.000 8.272
Pd 2.072 2.072 2.039
Pd 2.072 2.072 6.171
Pd 2.072 2.072 10.304

12
Lattice="4.987 0.000 0.000 0.000 15.121 0.000 0.000 0.000 3.492" Properties=species:S:1:pos:R:3 comment="Tm2ThPd3 PBE-GGA optimized geometry" sg=Pmmn e_tot_ev_per_atom=-6.153 magmom_total_mub_per_fu=0.00 pbc="T T T"
Tm 1.247 1.203 0.003
Tm 1.247 6.357 0.003
Tm 3.741 8.764 3.489
Tm 3.741 13.918 3.489
Th 1.247 11.341 3.485
Th 3.741 3.780 0.007
Pd 1.247 3.780 1.753
Pd 1.247 8.731 1.746
Pd 1.247 13.950 1.746
Pd 3.741 1.171 1.746
Pd 3.741 6.390 1.746
Pd 3.741 11.341 1.738

4
Lattice="3.528 0.000 0.000 0.000 3.528 0.000 0.000 0.000 8.306" Properties=species:S:1:pos:R:3 comment="Tm2ThPd PBE-GGA optimized geometry" de_polymorph_kj_per_mol_fu=0 sg=P4/mmm e_tot_ev_per_atom=-5.832 magmom_total_mub_per_fu=0.00 pbc="T T T"
Tm 0.000 0.000 1.665
Tm 0.000 0.000 6.641
Th 1.764 1.764 4.153
Pd 1.764 1.764 0.000

4
Lattice="2.428 1.402 4.503 -2.428 1.402 4.503 0.000 -2.804 4.503" Properties=species:S:1:pos:R:3 comment="TmThPd2 PBE-GGA optimized geometry" de_polymorph_kj_per_mol_fu=29 sg=R-3m e_tot_ev_per_atom=-6.358 magmom_total_mub_per_fu=0.00 pbc="T T T"
Tm 0.000 0.000 0.000
Th 0.000 0.000 6.755
Pd 0.000 0.000 3.712
Pd 0.000 0.000 9.799

7
Lattice="4.151 0.000 0.000 0.000 4.151 0.000 0.000 0.000 8.229" Properties=species:S:1:pos:R:3 comment="TmThPd5 PBE-GGA optimized geometry" sg=P4/mmm e_tot_ev_per_atom=-6.153 magmom_total_mub_per_fu=0.00 pbc="T T T"
Tm 0.000 0.000 0.000
Th 2.075 2.075 4.114
Pd 0.000 0.000 4.114
Pd 0.000 2.075 1.986
Pd 0.000 2.075 6.243
Pd 2.075 0.000 1.986
Pd 2.075 0.000 6.243

10
Lattice="4.243 0.000 0.000 0.000 5.796 0.000 0.000 0.000 8.987" Properties=species:S:1:pos:R:3 comment="TmThPd3 PBE-GGA optimized geometry" sg=Pmmn e_tot_ev_per_atom=-6.348 magmom_total_mub_per_fu=0.00 pbc="T T T"
Tm 1.061 1.449 0.450
Tm 3.182 4.347 8.536
Th 1.061 4.347 3.494
Th 3.182 1.449 5.493
Pd 1.061 1.449 3.345
Pd 1.061 2.945 7.010
Pd 1.061 5.748 7.010
Pd 3.182 0.048 1.977
Pd 3.182 2.850 1.977
Pd 3.182 4.347 5.641

3
Lattice="-1.804 1.804 5.895 1.804 -1.804 5.895 1.804 1.804 -5.895" Properties=species:S:1:pos:R:3 comment="TmThPd PBE-GGA optimized geometry" de_polymorph_kj_per_mol_fu=3 sg=I4mm e_tot_ev_per_atom=-6.173 magmom_total_mub_per_fu=0.00 pbc="T T T"
Tm 0.000 0.000 0.000
Th 0.000 0.000 8.356
Pd 0.000 0.000 4.224

4
Lattice="0.000 3.586 3.586 3.586 0.000 3.586 3.586 3.586 0.000" Properties=species:S:1:pos:R:3 comment="TmThZnPd PBE-GGA optimized geometry" sg=F-43m e_tot_ev_per_atom=-5.075 magmom_total_mub_per_fu=0.00 pbc="T T T"
Tm 0.000 0.000 0.000
Th 3.586 3.586 3.586
Zn 1.793 1.793 1.793
Pd 5.379 5.379 5.379

12
Lattice="4.179 0.000 0.000 0.000 4.179 0.000 0.000 0.000 12.540" Properties=species:S:1:pos:R:3 comment="ThU2Pd9 PBE-GGA optimized geometry" sg=P4/mmm e_tot_ev_per_atom=-7.033 magmom_total_mub_per_fu=4.53 pbc="T T T"
Th 0.000 0.000 0.000
U 0.000 0.000 4.215
U 0.000 0.000 8.325
Pd 0.000 2.089 2.112
Pd 0.000 2.089 6.270
Pd 0.000 2.089 10.428
Pd 2.089 0.000 2.112
Pd 2.089 0.000 6.270
Pd 2.089 0.000 10.428
Pd 2.089 2.089 0.000
Pd 2.089 2.089 4.188
Pd 2.089 2.089 8.352